Entry from Alexandria: a relaxed structure of NaMg3Si (PBE-GGA).

**Electronic total energy**: -2.094 eV per atom
**Formation energy from raw total energies**: 102 kJ/mol of formula units

Structure (POSCAR):
```
NaMg3Si
1.0
5.176 0.000 0.000
0.000 5.176 0.000
0.000 0.000 5.176
Na Mg Si
1 3 1
direct
0.000 0.000 0.000 Na
0.000 0.500 0.500 Mg
0.500 0.000 0.500 Mg
0.500 0.500 0.000 Mg
0.500 0.500 0.500 Si
```

Entry from Alexandria: a relaxed structure of NaMg3Si (PBE-GGA).

**Electronic total energy**: -1.318 eV per atom
**Formation energy from raw total energies**: 476 kJ/mol of formula units

Structure (POSCAR):
```
NaMg3Si
1.0
5.158 0.000 0.000
0.000 5.158 0.000
0.000 0.000 5.158
Na Mg Si
1 3 1
direct
0.000 0.000 0.000 Na
0.000 0.000 0.500 Mg
0.000 0.500 0.000 Mg
0.500 0.000 0.000 Mg
0.500 0.500 0.500 Si
```

Entry from Alexandria: a relaxed structure of NaMg14Si (PBE-GGA).

**Electronic total energy**: -1.770 eV per atom
**Formation energy from raw total energies**: 72 kJ/mol of formula units

Structure (POSCAR):
```
NaMg14Si
1.0
6.392 0.000 0.000
-3.196 5.536 0.000
0.000 0.000 10.216
Na Mg Si
1 14 1
direct
0.000 0.000 0.000 Na
0.005 0.503 0.000 Mg
0.165 0.330 0.264 Mg
0.165 0.330 0.736 Mg
0.165 0.835 0.264 Mg
0.165 0.835 0.736 Mg
0.497 0.503 0.000 Mg
0.497 0.995 0.000 Mg
0.504 0.008 0.500 Mg
0.504 0.496 0.500 Mg
0.667 0.333 0.246 Mg
0.667 0.333 0.754 Mg
0.670 0.835 0.264 Mg
0.670 0.835 0.736 Mg
0.992 0.496 0.500 Mg
0.000 0.000 0.500 Si
```

Entry from Alexandria: a relaxed structure of Na3MgSi (PBE-GGA).

**Electronic total energy**: -1.393 eV per atom
**Formation energy from raw total energies**: 387 kJ/mol of formula units

Structure (POSCAR):
```
Na3MgSi
1.0
5.647 0.000 0.000
0.000 5.647 0.000
0.000 0.000 5.647
Na Mg Si
3 1 1
direct
0.000 0.000 0.500 Na
0.000 0.500 0.000 Na
0.500 0.000 0.000 Na
0.000 0.000 0.000 Mg
0.500 0.500 0.500 Si
```

Entry from Alexandria: a relaxed structure of Na3MgSi (PBE-GGA).

**Electronic total energy**: -1.796 eV per atom
**Formation energy from raw total energies**: 192 kJ/mol of formula units

Structure (POSCAR):
```
Na3MgSi
1.0
5.637 0.000 0.000
0.000 5.637 0.000
0.000 0.000 5.637
Na Mg Si
3 1 1
direct
0.000 0.000 0.500 Na
0.000 0.500 0.000 Na
0.500 0.000 0.000 Na
0.500 0.500 0.500 Mg
0.000 0.000 0.000 Si
```

Entry from Alexandria: a relaxed structure of NaSr2MgSi (PBE-GGA).

**Electronic total energy**: -2.386 eV per atom
**Formation energy from raw total energies**: -22 kJ/mol of formula units

Structure (POSCAR):
```
NaSr2MgSi
1.0
6.199 0.000 0.000
0.000 6.199 0.000
0.000 0.000 5.116
Na Sr Mg Si
1 2 1 1
direct
0.000 0.000 0.000 Na
0.000 0.500 0.500 Sr
0.500 0.000 0.500 Sr
0.500 0.500 0.000 Mg
0.500 0.500 0.500 Si
```

Theoretical density? In order: 1484; 1501; 1797; 1119; 1125; 2117 kg/m³.